Below is crystalline TaCoNi at its relaxed geometry, with properties calculated at the PBE-GGA level.

## Properties
Calculated formation energy, eV/atom: -0.21
Uncorrected energy, eV per cell: -50.8
Total magnetization, μB per atom: 0.151

a = 3.1465 Å, b = 3.1465 Å, c = 7.9978 Å
α = 90.00°, β = 90.00°, γ = 90.00°
Last column: nearest neighbours and their distance in Å.
Space group I4mm (No. 107)
Symmetry-distinct sites (fractional):
Ta 0.0000 0.0000 0.0000 (multiplicity 2)  5 Co 2.58-2.70, 5 Ni 2.60-2.66
Co 0.0000 0.0000 0.6626 (multiplicity 2)  5 Ta 2.58-2.70, 5 Ni 2.61-2.64
Ni 0.0000 0.0000 0.3325 (multiplicity 2)  5 Ta 2.60-2.66, 5 Co 2.61-2.64